1.
KMn2Pb (SCAN, PBEsol geometry); SG = F-43m, No. 216; raw total energy = -29.7492 eV/atom; energy of formation from the pure elements = 0.406 eV/atom; N(E_F) = 1.62 states/eV/cell
1.0
-2.3534 2.3420 3.8330
-3.4293 -2.4996 2.7763
1.0626 -1.2816 4.7900
Mn K Pb
2 1 1
direct
0.0000 0.0000 0.0000 Mn
0.7500 0.7500 0.7500 Mn
0.5000 0.5000 0.5000 K
0.2500 0.2500 0.2500 Pb


2.
CeZnNi (SCAN, PBEsol geometry); SG = P-62m, No. 189; raw total energy = -25.1397 eV/atom; energy of formation from the pure elements = -0.389 eV/atom; N(E_F) = 10.12 states/eV/cell
1.0
3.8466 0.0000 0.0000
0.0000 6.8469 0.0000
0.0000 -3.4234 5.9296
Ni Zn Ce
3 3 3
direct
0.5000 0.6667 0.3333 Ni
0.0000 0.0000 0.0000 Ni
0.5000 0.3333 0.6667 Ni
0.5000 0.0000 0.2346 Zn
0.5000 0.7654 0.7654 Zn
0.5000 0.2346 0.0000 Zn
0.0000 0.4173 0.4173 Ce
0.0000 0.0000 0.5827 Ce
0.0000 0.5827 0.0000 Ce


3.
CeSiRu2C (SCAN, PBEsol geometry); SG = Cmcm, No. 63; uncorrected formation energy = -0.65 eV per atom; raw total energy = -27.5117 eV/atom; N(E_F) = 6.43 states/eV/cell
1.0
-2.6528 1.1807 -2.5416
-1.2442 -5.4733 1.6855
-3.9328 2.5183 5.2747
C Si Ce Ru
2 2 2 4
direct
0.0000 0.0000 0.0000 C
0.0000 0.0000 0.5000 C
0.7270 0.4540 0.2500 Si
0.2730 0.5460 0.7500 Si
0.4468 0.8936 0.2500 Ce
0.5532 0.1064 0.7500 Ce
0.8351 0.6702 0.9429 Ru
0.1649 0.3298 0.0571 Ru
0.1649 0.3298 0.4429 Ru
0.8351 0.6702 0.5571 Ru


> Which formula does entry 2 have?

CeZnNi